[1]
First-principles (PBE-GGA) data for a geometry-optimized Al2Zn8Ga structure, as listed in Alexandria.

## Properties
- D(E_F): 0.228 states/eV per atom
- Polymorph energy (0 for the lowest one): 77 meV per atom
- ΔH_f (0 K): 103 meV/atom
- Symmetry: C2/m (12)

Unit cell a=5.400 b=6.521 c=6.785 alpha=61.28 beta=77.07 gamma=62.24
Atoms (fractional coordinates):
Zn: 0.782 0.092 0.225
Zn: 0.218 0.908 0.775
Zn: 0.500 0.777 0.446
Zn: 0.500 0.223 0.554
Zn: 0.218 0.683 0.225
Zn: 0.267 0.443 0.000
Zn: 0.782 0.317 0.775
Zn: 0.733 0.557 0.000
Ga: 0.500 0.000 0.000
Al: 0.000 0.697 0.605
Al: 0.000 0.303 0.395

[2]
First-principles (PBE-GGA) data for a geometry-optimized NbSbS2Cl structure, as listed in Alexandria.

## Properties
- D(E_F): 1.077 states/eV per atom
- Polymorph energy (0 for the lowest one): 813 meV per atom
- Raw formation energy: 0.65 eV per atom
- Symmetry: P4/mmm (123)

Unit cell a=5.145 b=5.145 c=4.978 alpha=90.00 beta=90.00 gamma=90.00
Each line ends with the local moment (μB).
Atoms (fractional coordinates):
Nb: 0.500 0.500 0.500  2.77
Sb: 0.000 0.000 0.000  -0.01
S: 0.500 0.000 0.000  -0.10
S: 0.000 0.500 0.000  -0.10
Cl: 0.000 0.000 0.500  0.03

[3]
First-principles (PBE-GGA) data for a geometry-optimized Ag3Pb structure, as listed in Alexandria.

## Properties
- D(E_F): 0.487 states/eV per atom
- ΔH_f (0 K): 151 meV/atom
- Symmetry: Pm-3n (223)

Unit cell a=5.531 b=5.531 c=5.531 alpha=90.00 beta=90.00 gamma=90.00
Atoms (fractional coordinates):
Ag: 0.750 0.500 0.000
Ag: 0.250 0.500 0.000
Ag: 0.000 0.750 0.500
Ag: 0.000 0.250 0.500
Ag: 0.500 0.000 0.750
Ag: 0.500 0.000 0.250
Pb: 0.000 0.000 0.000
Pb: 0.500 0.500 0.500

[4]
First-principles (PBE-GGA) data for a geometry-optimized AgRhSe2 structure, as listed in Alexandria.

## Properties
- D(E_F): 0.386 states/eV per atom
- Raw formation energy: -0.02 eV per atom
- Symmetry: Cmcm (63)

Unit cell a=10.926 b=10.926 c=4.838 alpha=90.00 beta=90.00 gamma=164.65
Atoms (fractional coordinates):
Ag: 0.298 0.702 0.250
Ag: 0.702 0.298 0.750
Rh: 0.042 0.958 0.250
Rh: 0.958 0.042 0.750
Se: 0.932 0.068 0.250
Se: 0.835 0.165 0.750
Se: 0.068 0.932 0.750
Se: 0.165 0.835 0.250

[5]
First-principles (PBE-GGA) data for a geometry-optimized Sr2ReSi structure, as listed in Alexandria.

## Properties
- D(E_F): 0.849 states/eV per atom
- Raw formation energy: 0.74 eV per atom
- Symmetry: Pmmm (47)

Unit cell a=2.972 b=4.639 c=6.886 alpha=90.00 beta=90.00 gamma=90.00
Atoms (fractional coordinates):
Re: 0.500 0.500 0.250
Sr: 0.000 0.000 0.503
Sr: 0.000 0.000 0.997
Si: 0.500 0.500 0.750

[6]
First-principles (PBE-GGA) data for a geometry-optimized GeBAsBr2 structure, as listed in Alexandria.

## Properties
- D(E_F): 0.749 states/eV per atom
- Polymorph energy (0 for the lowest one): 403 meV per atom
- Raw formation energy: 1.15 eV per atom
- Symmetry: P4/mmm (123)

Unit cell a=5.303 b=5.303 c=5.182 alpha=90.00 beta=90.00 gamma=90.00
Each line ends with the local moment (μB).
Atoms (fractional coordinates):
Ge: 0.000 0.000 0.000  0.04
Br: 0.500 0.000 0.000  0.08
Br: 0.000 0.500 0.000  0.08
As: 0.000 0.000 0.500  0.56
B: 0.500 0.500 0.500  -0.02

Copy entry 2 word for word.
First-principles (PBE-GGA) data for a geometry-optimized NbSbS2Cl structure, as listed in Alexandria.

## Properties
- D(E_F): 1.077 states/eV per atom
- Polymorph energy (0 for the lowest one): 813 meV per atom
- Raw formation energy: 0.65 eV per atom
- Symmetry: P4/mmm (123)

Unit cell a=5.145 b=5.145 c=4.978 alpha=90.00 beta=90.00 gamma=90.00
Each line ends with the local moment (μB).
Atoms (fractional coordinates):
Nb: 0.500 0.500 0.500  2.77
Sb: 0.000 0.000 0.000  -0.01
S: 0.500 0.000 0.000  -0.10
S: 0.000 0.500 0.000  -0.10
Cl: 0.000 0.000 0.500  0.03

Number 6 is which compound?
GeBAsBr2

Among the records above, which one has the highest D(E_F)?
NbSbS2Cl